Below is Ti2MnGe2 after structural relaxation, with properties calculated at the PBE level.

Cell: 4.2282 5.2198 7.3353 Å, 90.00 106.75 90.00°
Positions (direct):
Ti: 0.9999 0.7267 0.9999
Ti: 0.8018 0.4776 0.6035
Ti: 0.1982 0.9776 0.3965
Ti: 0.0001 0.2267 0.0001
Mn: 0.3974 0.9760 0.7947
Mn: 0.6026 0.4760 0.2053
Ge: 0.4230 0.4764 0.8459
Ge: 0.8180 0.9776 0.6360
Ge: 0.1820 0.4776 0.3640
Ge: 0.5770 0.9764 0.1541

Size of the total moment ... 3.327 μB per cell
Calculated formation energy ... -0.425 eV per atom